Entry 1:
The following is a GGA-PBE calculation of an optimized crystal structure of Li5P, from Alexandria via LeMat-Bulk.

The structure in CIF format:
```
data_Li5P
_chemical_formula_sum 'Li5 P1'
_cell_length_a 4.8782
_cell_length_b 4.8782
_cell_length_c 4.7770
_cell_angle_alpha 90.00
_cell_angle_beta 90.00
_cell_angle_gamma 120.00
_space_group_name_H-M_alt 'P 6/m m m'
_space_group_IT_number 191
_space_group_name_Hall '-P 6 2'
loop_
_atom_site_label
_atom_site_fract_x
_atom_site_fract_y
_atom_site_fract_z
Li1 0.0000 0.5000 0.0000
Li2 0.3333 0.6667 0.5000
P1 0.0000 0.0000 0.5000
```

Energy relative to the elements (eV per atom): 0.073
Total DFT energy (no corrections) (eV/f.u.): -14.54
Total magnetic moment (μB/f.u.): 1.32


Entry 2:
The following is a GGA-PBE calculation of an optimized crystal structure of Li5P, from Alexandria via LeMat-Bulk.

The structure in CIF format:
```
data_Li5P
_chemical_formula_sum 'Li10 P2'
_cell_length_a 4.0923
_cell_length_b 11.0159
_cell_length_c 4.0821
_cell_angle_alpha 90.00
_cell_angle_beta 90.00
_cell_angle_gamma 90.00
_space_group_name_H-M_alt 'C m m m'
_space_group_IT_number 65
_space_group_name_Hall '-C 2 2'
loop_
_atom_site_label
_atom_site_fract_x
_atom_site_fract_y
_atom_site_fract_z
Li1 0.0000 0.0000 0.0000
Li2 0.0000 0.1495 0.5000
Li3 0.0000 0.3576 0.0000
P1 0.0000 0.5000 0.5000
```

Energy relative to the elements (eV per atom): -0.367
Total DFT energy (no corrections) (eV/f.u.): -17.18
Total magnetic moment (μB/f.u.): 0.00


Entry 3:
The following is a GGA-PBE calculation of an optimized crystal structure of LiP, from Alexandria via LeMat-Bulk.

The structure in CIF format:
```
data_LiP
_chemical_formula_sum 'Li2 P2'
_cell_length_a 3.8378
_cell_length_b 3.8378
_cell_length_c 4.6287
_cell_angle_alpha 90.00
_cell_angle_beta 90.00
_cell_angle_gamma 120.00
_space_group_name_H-M_alt 'P 63/m m c'
_space_group_IT_number 194
_space_group_name_Hall '-P 6c 2c'
loop_
_atom_site_label
_atom_site_fract_x
_atom_site_fract_y
_atom_site_fract_z
Li1 0.0000 0.0000 0.0000
P1 0.3333 0.6667 0.2500
```

Energy above the most stable polymorph in this dataset (meV per atom): 651
Energy relative to the elements (eV per atom): 0.129
Total DFT energy (no corrections) (eV/f.u.): -7.06
Total magnetic moment (μB/f.u.): 0.00


Entry 4:
The following is a GGA-PBE calculation of an optimized crystal structure of Li2P, from Alexandria via LeMat-Bulk.

The structure in CIF format:
```
data_Li2P
_chemical_formula_sum 'Li2 P1'
_cell_length_a 4.1004
_cell_length_b 4.1004
_cell_length_c 2.8430
_cell_angle_alpha 90.00
_cell_angle_beta 90.00
_cell_angle_gamma 120.00
_space_group_name_H-M_alt 'P -3 m 1'
_space_group_IT_number 164
_space_group_name_Hall '-P 3 2"'
loop_
_atom_site_label
_atom_site_fract_x
_atom_site_fract_y
_atom_site_fract_z
Li1 0.3333 0.6667 0.3243
P1 0.0000 0.0000 0.0000
```

Energy above the most stable polymorph in this dataset (meV per atom): 56
Energy relative to the elements (eV per atom): -0.514
Total DFT energy (no corrections) (eV/f.u.): -10.78
Total magnetic moment (μB/f.u.): 0.00


Entry 5:
The following is a GGA-PBE calculation of an optimized crystal structure of Li4P, from Alexandria via LeMat-Bulk.

The structure in CIF format:
```
data_Li4P
_chemical_formula_sum 'Li4 P1'
_cell_length_a 4.7085
_cell_length_b 4.7085
_cell_length_c 4.7085
_cell_angle_alpha 90.00
_cell_angle_beta 90.00
_cell_angle_gamma 90.00
_space_group_name_H-M_alt 'P m -3 m'
_space_group_IT_number 221
_space_group_name_Hall '-P 4 2 3'
loop_
_atom_site_label
_atom_site_fract_x
_atom_site_fract_y
_atom_site_fract_z
Li1 0.0000 0.0000 0.0000
Li2 0.0000 0.5000 0.5000
P1 0.5000 0.5000 0.5000
```

Energy above the most stable polymorph in this dataset (meV per atom): 71
Energy relative to the elements (eV per atom): -0.283
Total DFT energy (no corrections) (eV/f.u.): -14.48
Total magnetic moment (μB/f.u.): 0.00


Entry 6:
The following is a GGA-PBE calculation of an optimized crystal structure of LiP5, from Alexandria via LeMat-Bulk.

The structure in CIF format:
```
data_LiP5
_chemical_formula_sum 'Li2 P10'
_cell_length_a 3.2752
_cell_length_b 4.1119
_cell_length_c 15.7416
_cell_angle_alpha 90.00
_cell_angle_beta 90.00
_cell_angle_gamma 90.00
_space_group_name_H-M_alt 'A m m 2'
_space_group_IT_number 38
loop_
_space_group_symop_operation_xyz
'x,y,z'
'-x,-y,z'
'-x,y,z'
'x,-y,z'
'x,y+1/2,z+1/2'
'-x,-y+1/2,z+1/2'
'-x,y+1/2,z+1/2'
'x,-y+1/2,z+1/2'
loop_
_atom_site_label
_atom_site_fract_x
_atom_site_fract_y
_atom_site_fract_z
Li1 0.0000 0.0000 0.0000
P1 0.0000 0.0000 0.3743
P2 0.0000 0.0000 0.6552
P3 0.5000 0.0000 0.2728
P4 0.5000 0.0000 0.5653
P5 0.5000 0.0000 0.8539
```

Energy above the most stable polymorph in this dataset (meV per atom): 304
Energy relative to the elements (eV per atom): 0.112
Total DFT energy (no corrections) (eV/f.u.): -28.29
Total magnetic moment (μB/f.u.): 0.00


no.,DOS at the Fermi energy (states/eV per cell)
1,1.689
2,2.589
3,1.518
4,0.675
5,2.125
6,2.124